Material: BaAu2Cl
Method: DFT, GGA-PBE
State: optimized geometry

Formation energy without anion corrections   -1.021 eV per atom
Offset from the most stable computed form   0.000 eV per atom
ρ   7.052 Mg/m³
Size of the total moment   0.000 μB/atom

Unit cell a=8.211 b=4.731 c=7.338 alpha=90.00 beta=110.59 gamma=90.00
Space group Cm (No. 8)
Unique sites:
Ba 0.000 0.000 0.000 (multiplicity 2)
Au 0.266 0.500 0.316 (multiplicity 2)
Au 0.435 0.000 0.324 (multiplicity 2)
Cl 0.266 0.000 0.788 (multiplicity 2)

---

Material: Ac2YTl
Method: DFT, GGA-PBE
State: optimized geometry

Offset from the most stable computed form   0.000 eV per atom
DFT formation energy   -106 meV per atom
ρ   8.233 Mg/m³
Size of the total moment   0.000 μB/atom

Unit cell a=3.972 b=3.972 c=9.553 alpha=90.00 beta=90.00 gamma=90.00
Space group P4/mmm (No. 123)
Unique sites:
Ac 0.000 0.000 0.232 (multiplicity 2)
Y 0.500 0.500 0.500 (multiplicity 1)
Tl 0.500 0.500 0.000 (multiplicity 1)